Record 1
Material: DyTm2Cu9
Method: DFT, PBE
State: relaxed

abc: 5.1290 5.1290 24.8249
angles: 90.00 90.00 120.00
Space group R-3m (No. 166, hexagonal axes)
Symmetry-distinct sites (fractional):
Dy1 0.0000 0.0000 0.0000 x3
Tm1 0.0000 0.0000 0.1412 x6
Cu1 0.0000 0.0000 0.3325 x6
Cu2 0.0000 0.0000 0.5000 x3
Cu3 0.0007 0.5003 0.9174 x18

Results
- Crystal system: trigonal
- DOS at the Fermi energy: 8.57 states/eV/f.u.
- Total energy: -0.1625 Ha/atom
- ρ: 9.4 Mg/m³

Record 2
Material: Dy2TmCu3
Method: DFT, PBE
State: relaxed

abc: 3.443 3.443 10.379
angles: 90.00 90.00 90.00
Space group P4/mmm (No. 123)
Symmetry-distinct sites (fractional):
Dy1 0.000 0.000 0.168 x2
Tm1 0.000 0.000 0.500 x1
Cu1 0.500 0.500 0.000 x1
Cu2 0.500 0.500 0.339 x2

Results
- Crystal system: tetragonal
- DOS at the Fermi energy: 2.75 states/eV/f.u.
- Total energy: -0.1689 Ha/atom
- ρ: 9.2 Mg/m³

Record 3
Material: Dy2TmCu
Method: DFT, PBE
State: relaxed

abc: 3.5454 3.5454 29.6245
angles: 90.00 90.00 120.00
Space group R-3m (No. 166, hexagonal axes)
Symmetry-distinct sites (fractional):
Dy1 0.0000 0.0000 0.2361 x6
Tm1 0.0000 0.0000 0.0000 x3
Cu1 0.0000 0.0000 0.5000 x3

Results
- Crystal system: trigonal
- DOS at the Fermi energy: 4.62 states/eV/f.u.
- Total energy: -0.1620 Ha/atom
- Energy relative to the lowest polymorph listed for this composition: 148 meV/atom
- ρ: 8.6 Mg/m³

Record 4
Material: Dy2TmCu9
Method: DFT, PBE
State: relaxed

abc: 5.1236 5.1236 25.0317
angles: 90.00 90.00 120.00
Space group R-3m (No. 166, hexagonal axes)
Symmetry-distinct sites (fractional):
Dy1 0.0000 0.0000 0.1403 x6
Tm1 0.0000 0.0000 0.0000 x3
Cu1 0.0000 0.0000 0.3324 x6
Cu2 0.0000 0.0000 0.5000 x3
Cu3 0.0000 0.5000 0.0816 x18

Results
- Crystal system: trigonal
- DOS at the Fermi energy: 7.16 states/eV/f.u.
- Total energy: -0.1623 Ha/atom
- ρ: 9.3 Mg/m³